Density functional theory data (PBE) for SrBPd2Au after structural relaxation.

Lattice parameters (Å, degrees): 4.433 4.433 4.532 90.00 90.00 90.00
Fractional positions:
Sr  0.000  0.000  0.000
B  0.500  0.500  0.500
Pd  0.000  0.500  0.500
Pd  0.500  0.000  0.500
Au  0.500  0.500  0.000

Values from the calculation:
Its total energy is -4.76 eV per atom. Its calculated density is 9.5 g cm⁻³. The space group is No. 123.